# 1
Na2AgBrCl2 PBE-GGA optimized geometry; SG = No. 36; DOS(E_F) = 0.00 states/eV/cell; formation energy (no corrections) = -1257 meV per atom
1.0
6.582 -3.933 0.000
6.582 3.933 0.000
0.000 0.000 7.167
Na Ag Br Cl
4 2 2 4
Direct
0.008 0.336 0.000
0.336 0.008 0.500
0.664 0.992 0.000
0.992 0.664 0.500
0.323 0.677 0.981
0.677 0.323 0.481
0.349 0.651 0.360
0.651 0.349 0.860
0.005 0.325 0.377
0.325 0.005 0.877
0.675 0.995 0.377
0.995 0.675 0.877

---

# 2
NaAgBr2Cl PBE-GGA optimized geometry; SG = No. 123; DOS(E_F) = 4.86 states/eV/cell; formation energy (no corrections) = -56 meV per atom; energy relative to the lowest polymorph listed for this composition = 652 meV per atom
1.0
5.117 0.000 0.000
0.000 5.117 0.000
0.000 0.000 8.430
Na Ag Br Cl
1 1 2 1
Direct
0.000 0.000 0.000
0.000 0.000 0.500
0.000 0.500 0.000
0.500 0.000 0.000
0.500 0.500 0.500

---

# 3
NaAg2Br2Cl PBE-GGA optimized geometry; SG = No. 36; DOS(E_F) = 0.00 states/eV/cell; formation energy (no corrections) = -789 meV per atom
1.0
6.630 -3.867 0.000
6.630 3.867 0.000
0.000 0.000 7.311
Na Ag Br Cl
2 4 4 2
Direct
0.159 0.841 0.500
0.841 0.159 0.000
0.165 0.506 0.972
0.494 0.835 0.972
0.506 0.165 0.472
0.835 0.494 0.472
0.170 0.491 0.345
0.491 0.170 0.845
0.509 0.830 0.345
0.830 0.509 0.845
0.167 0.833 0.868
0.833 0.167 0.368

---

# 4
NaAg2BrCl2 PBE-GGA optimized geometry; SG = No. 11; DOS(E_F) = 0.00 states/eV/cell; formation energy (no corrections) = -794 meV per atom
1.0
4.346 0.000 0.000
0.000 7.278 0.000
-0.028 0.000 11.010
Na Ag Br Cl
2 4 2 4
Direct
0.249 0.250 0.451
0.751 0.750 0.549
0.250 0.250 0.809
0.252 0.750 0.821
0.748 0.250 0.179
0.750 0.750 0.191
0.249 0.750 0.051
0.751 0.250 0.949
0.252 0.514 0.642
0.252 0.986 0.642
0.748 0.014 0.358
0.748 0.486 0.358

---

Number 1: theoretical density 2.7 g cm⁻³. Number 2: theoretical density 2.5 g cm⁻³. Number 3: theoretical density 3.8 g cm⁻³. Number 4: theoretical density 3.7 g cm⁻³.